1.
## Pu2ScRu4 (PBE)

Data for Pu2ScRu4 after structural relaxation.

Energy of formation (meV per atom): -105
N(E_F) (states/eV/atom): 1.105
Offset from the most stable computed form (meV/atom): 0.0
Spin magnetization (μB per formula unit): 7.0

Cell lengths 4.5118, 4.5118, 8.3096 Å; angles 66.18, 66.18, 58.56 degrees
Sites, in units of the cell vectors:
Pu 0.8030 0.8030 0.7191
Pu 0.1970 0.1970 0.2809
Ru 0.1660 0.1660 0.6263
Ru 0.5981 0.5981 0.1389
Ru 0.8340 0.8340 0.3737
Ru 0.4019 0.4019 0.8611
Sc 0.0000 0.0000 0.0000

2.
## Pu2ScRu4 (PBE)

Data for Pu2ScRu4 after structural relaxation.

Energy of formation (meV per atom): 157
N(E_F) (states/eV/atom): 1.545
Offset from the most stable computed form (meV/atom): 261.7
Spin magnetization (μB per formula unit): 6.8

Cell lengths 4.9001, 4.9001, 6.5526 Å; angles 111.96, 111.96, 90.00 degrees
Sites, in units of the cell vectors:
Ru 0.2500 0.7500 0.5000
Ru 0.5000 0.0000 0.0000
Ru 0.7500 0.2500 0.5000
Ru 0.0000 0.5000 0.0000
Sc 0.0000 0.0000 0.0000
Pu 0.6528 0.6528 0.3056
Pu 0.3472 0.3472 0.6944

3.
## Pu5ScRu6 (PBE)

Data for Pu5ScRu6 after structural relaxation.

Energy of formation (meV per atom): -170
N(E_F) (states/eV/atom): 2.693
Spin magnetization (μB per formula unit): 12.4

Cell lengths 4.6552, 6.7178, 7.5837 Å; angles 89.99, 72.13, 89.97 degrees
Sites, in units of the cell vectors:
Sc 0.0000 0.0000 0.0000
Pu 0.6643 0.0000 0.6715
Pu 0.0000 0.5000 0.0000
Pu 0.3357 0.0000 0.3285
Pu 0.6648 0.5000 0.6704
Pu 0.3352 0.5000 0.3296
Ru 0.5000 0.2459 0.0000
Ru 0.8333 0.2433 0.3335
Ru 0.1668 0.2433 0.6665
Ru 0.8332 0.7567 0.3335
Ru 0.5000 0.7541 0.0000
Ru 0.1667 0.7567 0.6665

4.
## Pu2ScRu3 (PBE)

Data for Pu2ScRu3 after structural relaxation.

Energy of formation (meV per atom): -281
N(E_F) (states/eV/atom): 2.050
Offset from the most stable computed form (meV/atom): 7.9
Spin magnetization (μB per formula unit): 8.5

Cell lengths 3.2991, 3.2991, 10.1085 Å; angles 90.00, 90.00, 90.00 degrees
Sites, in units of the cell vectors:
Pu 0.5000 0.5000 0.1726
Pu 0.5000 0.5000 0.8274
Ru 0.0000 0.0000 0.0000
Ru 0.0000 0.0000 0.6604
Ru 0.0000 0.0000 0.3396
Sc 0.5000 0.5000 0.5000

5.
## PuSc2Ru (PBE)

Data for PuSc2Ru after structural relaxation.

Energy of formation (meV per atom): -273
N(E_F) (states/eV/atom): 1.924
Spin magnetization (μB per formula unit): 6.5

Cell lengths 3.2200, 3.2200, 8.3101 Å; angles 90.00, 90.00, 90.00 degrees
Sites, in units of the cell vectors:
Sc 0.0000 0.0000 0.1859
Sc 0.0000 0.0000 0.8141
Pu 0.5000 0.5000 0.5000
Ru 0.5000 0.5000 0.0000

6.
## PuScRu (PBE)

Data for PuScRu after structural relaxation.

Energy of formation (meV per atom): -114
N(E_F) (states/eV/atom): 2.175
Spin magnetization (μB per formula unit): 5.2

Cell lengths 6.4851, 6.4851, 7.9817 Å; angles 114.18, 114.17, 89.50 degrees
Sites, in units of the cell vectors:
Pu 0.1562 0.5813 0.2374
Pu 0.1688 0.0939 0.2626
Pu 0.9061 0.8312 0.7374
Pu 0.4187 0.8438 0.7626
Sc 0.6679 0.0929 0.2608
Sc 0.6571 0.5822 0.2392
Sc 0.4178 0.3429 0.7608
Sc 0.9071 0.3321 0.7392
Ru 0.0398 0.4649 0.5000
Ru 0.5351 0.9602 0.5000
Ru 0.2852 0.2102 0.0000
Ru 0.7898 0.7148 0.0000

7.
## PuScRu4 (PBE)

Data for PuScRu4 after structural relaxation.

Energy of formation (meV per atom): -223
N(E_F) (states/eV/atom): 1.007
Spin magnetization (μB per formula unit): 3.4

Cell lengths 5.2614, 5.2614, 5.2614 Å; angles 60.00, 60.00, 60.00 degrees
Sites, in units of the cell vectors:
Sc 0.0000 0.0000 0.0000
Pu 0.2500 0.2500 0.2500
Ru 0.6253 0.6253 0.6253
Ru 0.6253 0.1241 0.6253
Ru 0.1241 0.6253 0.6253
Ru 0.6253 0.6253 0.1241

8.
## PuScTlRu (PBE)

Data for PuScTlRu after structural relaxation.

Energy of formation (meV per atom): -292
N(E_F) (states/eV/atom): 1.593
Spin magnetization (μB per formula unit): 4.6

Cell lengths 3.2590, 3.2590, 8.1257 Å; angles 90.00, 90.00, 90.00 degrees
Sites, in units of the cell vectors:
Sc 0.5000 0.5000 0.3668
Tl 0.0000 0.0000 0.0873
Ru 0.0000 0.0000 0.5542
Pu 0.5000 0.5000 0.7764

9.
## PuScURu (PBE)

Data for PuScURu after structural relaxation.

Energy of formation (meV per atom): -38
N(E_F) (states/eV/atom): 1.901
Spin magnetization (μB per formula unit): 7.7

Cell lengths 4.8081, 4.8081, 4.8081 Å; angles 60.00, 60.00, 60.00 degrees
Sites, in units of the cell vectors:
Ru 0.0000 0.0000 0.0000
U 0.7500 0.7500 0.7500
Sc 0.2500 0.2500 0.2500
Pu 0.5000 0.5000 0.5000

10.
## PuScZnRu (PBE)

Data for PuScZnRu after structural relaxation.

Energy of formation (meV per atom): -205
N(E_F) (states/eV/atom): 2.379
Spin magnetization (μB per formula unit): 5.2

Cell lengths 4.7736, 4.7736, 4.7736 Å; angles 60.00, 60.00, 60.00 degrees
Sites, in units of the cell vectors:
Ru 0.7500 0.7500 0.7500
Sc 0.0000 0.0000 0.0000
Pu 0.5000 0.5000 0.5000
Zn 0.2500 0.2500 0.2500

11.
## PuRuSe (PBE)

Data for PuRuSe after structural relaxation.

N(E_F) (states/eV/atom): 2.368
Spin magnetization (μB per formula unit): 5.3
Formation energy (no corrections) (eV per atom): -0.2399

Cell lengths 4.0326, 3.4304, 10.7948 Å; angles 90.00, 90.00, 126.00 degrees
Sites, in units of the cell vectors:
Se 0.6191 0.2381 0.3602
Se 0.6191 0.2381 0.6398
Pu 0.2274 0.4548 0.1672
Pu 0.2274 0.4548 0.8328
Ru 0.7323 0.4647 0.0000
Ru 0.2413 0.4825 0.5000

12.
## Pu2RuSe (PBE)

Data for Pu2RuSe after structural relaxation.

N(E_F) (states/eV/atom): 3.281
Spin magnetization (μB per formula unit): 10.2
Formation energy (no corrections) (eV per atom): -0.6507

Cell lengths 3.3891, 3.3891, 7.3557 Å; angles 90.00, 90.00, 90.00 degrees
Sites, in units of the cell vectors:
Se 0.5000 0.5000 0.5000
Ru 0.5000 0.5000 0.0000
Pu 0.0000 0.0000 0.7625
Pu 0.0000 0.0000 0.2375

13.
## Pu3SiRu (PBE)

Data for Pu3SiRu after structural relaxation.

N(E_F) (states/eV/atom): 4.094
Spin magnetization (μB per formula unit): 4.5
Formation energy (no corrections) (eV per atom): -0.2041

Cell lengths 4.7978, 6.5073, 6.5645 Å; angles 90.01, 90.00, 90.00 degrees
Sites, in units of the cell vectors:
Ru 0.2500 0.0536 0.2485
Ru 0.7500 0.9464 0.7515
Pu 0.7500 0.2253 0.4640
Pu 0.7500 0.6937 0.2455
Pu 0.2500 0.7747 0.5360
Pu 0.2500 0.3063 0.7545
Pu 0.7500 0.2273 0.0364
Pu 0.2500 0.7727 0.9636
Si 0.2500 0.4283 0.2510
Si 0.7500 0.5717 0.7490

14.
## Pu2Si3Ru5 (PBE)

Data for Pu2Si3Ru5 after structural relaxation.

N(E_F) (states/eV/atom): 1.733
Spin magnetization (μB per formula unit): 8.3
Formation energy (no corrections) (eV per atom): -0.4676

Cell lengths 4.0811, 6.3118, 12.5023 Å; angles 90.00, 99.39, 90.00 degrees
Sites, in units of the cell vectors:
Ru 0.8701 0.7414 0.7401
Ru 0.3962 0.3939 0.7923
Ru 0.7083 0.4411 0.4166
Ru 0.2931 0.5197 0.5862
Ru 0.7069 0.0197 0.4138
Ru 0.2917 0.9411 0.5834
Ru 0.1299 0.2414 0.2599
Ru 0.6038 0.8939 0.2077
Ru 0.0544 0.5860 0.1087
Ru 0.9456 0.0860 0.8913
Pu 0.8255 0.2352 0.6511
Pu 0.4872 0.7580 0.9743
Pu 0.5128 0.2580 0.0257
Pu 0.1745 0.7352 0.3489
Si 0.6112 0.4799 0.2223
Si 0.0563 0.9777 0.1126
Si 0.7730 0.7319 0.5460
Si 0.9437 0.4777 0.8874
Si 0.2270 0.2319 0.4540
Si 0.3888 0.9799 0.7777

15.
## Pu2SiRu2 (PBE)

Data for Pu2SiRu2 after structural relaxation.

N(E_F) (states/eV/atom): 2.814
Spin magnetization (μB per formula unit): 9.6
Formation energy (no corrections) (eV per atom): -0.3738

Cell lengths 5.6252, 5.6252, 7.6779 Å; angles 74.99, 74.99, 56.12 degrees
Sites, in units of the cell vectors:
Ru 0.2779 0.9817 0.4770
Ru 0.7221 0.0183 0.5230
Ru 0.0183 0.7221 0.0230
Ru 0.9817 0.2779 0.9770
Pu 0.4986 0.2093 0.1439
Pu 0.2093 0.4986 0.6439
Pu 0.7907 0.5014 0.3561
Pu 0.5014 0.7907 0.8561
Si 0.8863 0.1137 0.7500
Si 0.1137 0.8863 0.2500

16.
## Pu2SiRu (PBE)

Data for Pu2SiRu after structural relaxation.

N(E_F) (states/eV/atom): 1.662
Spin magnetization (μB per formula unit): 0.0
Formation energy (no corrections) (eV per atom): -0.0341

Cell lengths 4.9642, 3.5371, 3.5371 Å; angles 90.00, 90.00, 90.00 degrees
Sites, in units of the cell vectors:
Pu 0.0000 0.0000 0.5000
Pu 0.0000 0.5000 0.0000
Ru 0.5000 0.0000 0.0000
Si 0.5000 0.5000 0.5000

17.
## PuSiRu (PBE)

Data for PuSiRu after structural relaxation.

N(E_F) (states/eV/atom): 1.904
Spin magnetization (μB per formula unit): 5.4
Formation energy (no corrections) (eV per atom): -0.4487

Cell lengths 3.0755, 3.0755, 5.9169 Å; angles 105.06, 105.06, 90.00 degrees
Sites, in units of the cell vectors:
Pu 0.9999 0.9999 0.9998
Si 0.6993 0.6993 0.3986
Ru 0.3008 0.3008 0.6016

18.
## PuSi3Ru3 (PBE)

Data for PuSi3Ru3 after structural relaxation.

N(E_F) (states/eV/atom): 3.095
Spin magnetization (μB per formula unit): 5.5
Formation energy (no corrections) (eV per atom): -0.0827

Cell lengths 6.4879, 6.4879, 6.4879 Å; angles 90.00, 90.00, 90.00 degrees
Sites, in units of the cell vectors:
Si 0.0000 0.5000 0.2500
Si 0.5000 0.2500 0.0000
Si 0.0000 0.5000 0.7500
Si 0.5000 0.7500 0.0000
Si 0.2500 0.0000 0.5000
Si 0.7500 0.0000 0.5000
Ru 0.7500 0.5000 0.0000
Ru 0.5000 0.0000 0.7500
Ru 0.5000 0.0000 0.2500
Ru 0.0000 0.7500 0.5000
Ru 0.2500 0.5000 0.0000
Ru 0.0000 0.2500 0.5000
Pu 0.5000 0.5000 0.5000
Pu 0.0000 0.0000 0.0000

19.
## PuSiRu (PBE)

Data for PuSiRu after structural relaxation.

N(E_F) (states/eV/atom): 3.138
Spin magnetization (μB per formula unit): 5.0
Formation energy (no corrections) (eV per atom): -0.4036

Cell lengths 3.8737, 4.1476, 4.1476 Å; angles 120.00, 90.00, 90.00 degrees
Sites, in units of the cell vectors:
Pu 0.6667 0.6667 0.3333
Si 0.1667 0.3333 0.6667
Ru 0.1666 0.0000 0.0000

20.
## PuSi2Ru2 (PBE)

Data for PuSi2Ru2 after structural relaxation.

N(E_F) (states/eV/atom): 3.383
Spin magnetization (μB per formula unit): 5.2
Formation energy (no corrections) (eV per atom): -0.7084

Cell lengths 4.1504, 4.1504, 5.6972 Å; angles 111.34, 111.34, 90.00 degrees
Sites, in units of the cell vectors:
Si 0.3707 0.3707 0.7416
Si 0.6293 0.6293 0.2584
Ru 0.7500 0.2500 0.5000
Ru 0.2500 0.7500 0.5000
Pu 0.0000 0.0000 0.0000

21.
## PuSi2Ru3 (PBE)

Data for PuSi2Ru3 after structural relaxation.

N(E_F) (states/eV/atom): 2.097
Spin magnetization (μB per formula unit): 4.4
Formation energy (no corrections) (eV per atom): -0.4871

Cell lengths 3.9774, 8.3230, 9.4701 Å; angles 107.71, 90.00, 103.82 degrees
Sites, in units of the cell vectors:
Pu 0.0000 0.0000 0.0000
Pu 0.8372 0.6744 0.2923
Pu 0.1628 0.3256 0.7077
Ru 0.7869 0.5739 0.6120
Ru 0.3197 0.6394 0.0394
Ru 0.6108 0.2215 0.1852
Ru 0.9593 0.9186 0.6536
Ru 0.2131 0.4261 0.3880
Ru 0.6803 0.3606 0.9606
Ru 0.5000 0.0000 0.5000
Ru 0.0407 0.0814 0.3464
Ru 0.3892 0.7785 0.8148
Si 0.6420 0.2841 0.4501
Si 0.1926 0.3851 0.1222
Si 0.8074 0.6149 0.8778
Si 0.4620 0.9239 0.2188
Si 0.5380 0.0761 0.7812
Si 0.3580 0.7159 0.5499

22.
## PuSi3Ru5 (PBE)

Data for PuSi3Ru5 after structural relaxation.

N(E_F) (states/eV/atom): 1.554
Spin magnetization (μB per formula unit): 5.2
Formation energy (no corrections) (eV per atom): -0.3516

Cell lengths 2.9456, 6.8179, 14.0009 Å; angles 90.00, 90.00, 102.48 degrees
Sites, in units of the cell vectors:
Ru 0.1936 0.3872 0.5796
Ru 0.0000 0.0000 0.5000
Ru 0.8064 0.6128 0.4204
Ru 0.0000 0.0000 0.0000
Ru 0.5328 0.0656 0.6554
Ru 0.4672 0.9344 0.1554
Ru 0.4672 0.9344 0.3446
Ru 0.8064 0.6128 0.0796
Ru 0.1936 0.3872 0.9204
Ru 0.5328 0.0656 0.8446
Si 0.8545 0.7090 0.2500
Si 0.3675 0.7349 0.9470
Si 0.3675 0.7349 0.5530
Si 0.6325 0.2651 0.0530
Si 0.1455 0.2910 0.7500
Si 0.6325 0.2651 0.4470
Pu 0.8492 0.6984 0.7500
Pu 0.1508 0.3016 0.2500

23.
## Pu2SiRu (PBE)

Data for Pu2SiRu after structural relaxation.

N(E_F) (states/eV/atom): 2.776
Spin magnetization (μB per formula unit): 9.1
Formation energy (no corrections) (eV per atom): -0.3124

Cell lengths 3.6902, 3.6902, 5.6015 Å; angles 90.00, 90.00, 90.00 degrees
Sites, in units of the cell vectors:
Ru 0.5000 0.5000 0.5000
Pu 0.0000 0.0000 0.2452
Pu 0.0000 0.0000 0.7548
Si 0.5000 0.5000 0.0000

24.
## Pu2SiRu2 (PBE)

Data for Pu2SiRu2 after structural relaxation.

N(E_F) (states/eV/atom): 2.610
Spin magnetization (μB per formula unit): 9.3
Formation energy (no corrections) (eV per atom): -0.3491

Cell lengths 4.0566, 5.7430, 5.3945 Å; angles 122.16, 112.09, 90.00 degrees
Sites, in units of the cell vectors:
Ru 0.5000 0.2547 0.0000
Ru 0.5000 0.7453 0.0000
Si 0.0000 0.0000 0.0000
Pu 0.7936 0.2936 0.5871
Pu 0.2064 0.7064 0.4129